LaTmIr, relaxed, DFT GGA-PBE; energy of formation from the pure elements = -534 meV/atom; polymorph energy (0 for the lowest one) = 0.48 eV/f.u.; density of states at the Fermi level = 3.9 states/eV/cell; total magnetic moment = 0.0 μB per formula unit; DFT total energy = -6.621 eV per atom
1.0
-1.7623 1.7623 6.4940
1.7623 -1.7623 6.4940
1.7623 1.7623 -6.4940
La Tm Ir
1 1 1
direct
0.0000 0.0000 0.0000
0.7468 0.7468 0.0000
0.3607 0.3607 0.0000